# FeAuIO2

FeAuIO2 after structural relaxation (PBE+U, Alexandria).

Magnetic moment   5.29 μB per cell
Excess energy over the best structure of this formula in the dataset   0.0 meV/atom
Mass density   6906 kg/m3

Cell lengths 3.868, 3.868, 6.615 Å; angles 90.00, 90.00, 90.00 degrees
Space group P4/mmm (No. 123)
Symmetry-distinct sites (fractional):
Fe1 0.000 0.000 0.000 x1
Au1 0.500 0.500 0.500 x1
I1 0.000 0.000 0.500 x1
O1 0.000 0.500 0.000 x2